Computed, not measured: an optimized crystal structure of TcHRuW2 at the PBE level of DFT.

DOS(E_F) in states/eV/cell: 4.37
Energy above the most stable polymorph in this dataset in eV/f.u.: 0.000
Space group: P4/mmm, No. 123

a = 4.011 Å, b = 4.011 Å, c = 3.911 Å
α = 90.00°, β = 90.00°, γ = 90.00°
Element x y z (fractional)
Tc  0.000  0.000  0.000
H  0.500  0.500  0.500
Ru  0.500  0.500  0.000
W  0.000  0.500  0.500
W  0.500  0.000  0.500

Computed, not measured: an optimized crystal structure of Zr2TcHRu at the PBE level of DFT.

DOS(E_F) in states/eV/cell: 2.49
Space group: P4/mmm, No. 123
Energy in eV/atom: -8.4413

a = 4.632 Å, b = 4.632 Å, c = 3.457 Å
α = 90.00°, β = 90.00°, γ = 90.00°
Element x y z (fractional)
Zr  0.000  0.500  0.000
Zr  0.500  0.000  0.000
Tc  0.000  0.000  0.500
H  0.500  0.500  0.000
Ru  0.500  0.500  0.500

Computed, not measured: an optimized crystal structure of ZrTcHRu2 at the PBE level of DFT.

DOS(E_F) in states/eV/cell: 5.26
Space group: P4/mmm, No. 123
Energy in eV/atom: -8.2823

a = 4.032 Å, b = 4.032 Å, c = 4.010 Å
α = 90.00°, β = 90.00°, γ = 90.00°
Element x y z (fractional)
Zr  0.000  0.000  0.000
Tc  0.500  0.500  0.000
H  0.500  0.500  0.500
Ru  0.000  0.500  0.500
Ru  0.500  0.000  0.500

Computed, not measured: an optimized crystal structure of Zr2TcHRu at the PBE level of DFT.

DOS(E_F) in states/eV/cell: 1.65
Space group: P4/mmm, No. 123
Energy in eV/atom: -8.4399

a = 4.671 Å, b = 4.671 Å, c = 3.406 Å
α = 90.00°, β = 90.00°, γ = 90.00°
Element x y z (fractional)
Zr  0.000  0.500  0.000
Zr  0.500  0.000  0.000
Tc  0.000  0.000  0.500
H  0.000  0.000  0.000
Ru  0.500  0.500  0.500

> Which formula does entry 2 have?

Zr2TcHRu

> The lowest DOS(E_F) belongs to which entry?

number 4